Record 1
The following is a GGA-PBE calculation of Tb3ScPa3N8 after structural relaxation, from Alexandria. Values from VASP.

```
&SYSTEM
  ibrav = 0, nat = 15, ntyp = 4
/
ATOMIC_SPECIES
Tb 158.93 Tb.upf
Sc 44.96 Sc.upf
Pa 231.04 Pa.upf
N 14.01 N.upf
CELL_PARAMETERS angstrom
3.448 1.991 5.621
-3.448 1.991 5.621
0.000 -3.982 5.621
ATOMIC_POSITIONS crystal
Tb 0.000 0.500 0.500
Tb 0.500 0.000 0.500
Tb 0.500 0.500 0.000
Sc 0.500 0.500 0.500
Pa 0.000 0.000 0.500
Pa 0.000 0.500 0.000
Pa 0.500 0.000 0.000
N 0.248 0.248 0.248
N 0.249 0.732 0.732
N 0.268 0.268 0.751
N 0.268 0.751 0.268
N 0.732 0.249 0.732
N 0.732 0.732 0.249
N 0.751 0.268 0.268
N 0.752 0.752 0.752
```

Output
E   -9.249 eV/atom
Raw formation energy   -2259.6 kJ/mol of formula units
V   232 Å³ per cell



Record 2
The following is a GGA-PBE calculation of InSn2Pd3 after structural relaxation, from Alexandria. Values from VASP.

```
&SYSTEM
  ibrav = 0, nat = 12, ntyp = 3
/
ATOMIC_SPECIES
In 114.82 In.upf
Sn 118.71 Sn.upf
Pd 106.42 Pd.upf
CELL_PARAMETERS angstrom
7.539 0.000 0.000
0.000 4.357 0.000
-2.531 0.000 7.377
ATOMIC_POSITIONS crystal
In 0.028 0.250 0.333
In 0.972 0.750 0.667
Sn 0.240 0.250 0.984
Sn 0.475 0.250 0.675
Sn 0.525 0.750 0.325
Sn 0.760 0.750 0.016
Pd 0.133 0.750 0.125
Pd 0.256 0.750 0.502
Pd 0.383 0.750 0.878
Pd 0.617 0.250 0.122
Pd 0.744 0.250 0.498
Pd 0.867 0.250 0.875
```

Output
E   -4.841 eV/atom
Energy relative to the lowest polymorph listed for this composition   30 meV per atom
Energy relative to the elements   -0.454 eV per atom
V   242 Å³ per cell